No. 1
Computed, not measured: crystalline ZrReHg at its relaxed geometry at the PBE level of DFT.

The calculation puts the uncorrected energy at -6.81 eV per atom. The energy above the most stable polymorph in this dataset comes out at 73 meV/atom.

It has space group Fmm2 (No. 42), with a = 3.491 Å, b = 4.751 Å, c = 13.904 Å, α = 90.00°, β = 90.00° and γ = 90.00°. Symmetry generates all atoms from Zr at (0.000, 0.000, 0.000), Re at (0.000, 0.000, 0.351) and Hg at (0.000, 0.000, 0.681).

***

No. 2
Computed, not measured: crystalline CsNa2Sr2Br7 at its relaxed geometry at the PBE level of DFT.

The calculation puts the uncorrected energy at -3.42 eV per atom. The uncorrected formation energy comes out at -22.475 eV per formula unit.

It has space group Imm2 (No. 44), with a = 6.070 Å, b = 24.613 Å, c = 6.072 Å, α = 90.00°, β = 90.00° and γ = 90.00°. Symmetry generates all atoms from Cs at (0.000, 0.000, 0.000), Na at (0.000, 0.250, 0.459), Sr at (0.000, 0.378, 0.961), Br at (0.000, 0.123, 0.458), Br at (0.000, 0.255, 0.959), Br at (0.000, 0.377, 0.460) and Br at (0.000, 0.500, 0.938).

***

No. 3
Computed, not measured: crystalline Ba2SiS at its relaxed geometry at the PBE level of DFT.

The calculation puts the uncorrected energy at -4.01 eV per atom. The uncorrected formation energy comes out at -2.649 eV per formula unit. The energy above the most stable polymorph in this dataset comes out at 549 meV/atom.

It has space group Fm-3m (No. 225), with a = 7.982 Å, b = 7.982 Å, c = 7.982 Å, α = 90.00°, β = 90.00° and γ = 90.00°. Symmetry generates all atoms from Ba at (0.250, 0.250, 0.250), Si at (0.000, 0.000, 0.000) and S at (0.000, 0.000, 0.500).

***

No. 4
Computed, not measured: crystalline Zr2Co2Cu at its relaxed geometry at the PBE level of DFT.

The calculation puts the uncorrected energy at -7.33 eV per atom. The energy above the most stable polymorph in this dataset comes out at 31 meV/atom.

It has space group C2/c (No. 15), with a = 9.012 Å, b = 4.951 Å, c = 7.316 Å, α = 90.00°, β = 106.81° and γ = 90.00°. Symmetry generates all atoms from Zr at (0.146, 0.154, 0.147), Co at (0.140, 0.353, 0.509) and Cu at (0.000, 0.329, 0.750).

***

No. 5
Computed, not measured: crystalline Ho2ZrB2Ru5 at its relaxed geometry at the PBE level of DFT.

The calculation puts the uncorrected energy at -8.25 eV per atom.

It has space group P4/mbm (No. 127), with a = 9.745 Å, b = 9.745 Å, c = 3.163 Å, α = 90.00°, β = 90.00° and γ = 90.00°. Symmetry generates all atoms from Ho at (0.175, 0.325, 0.000), Zr at (0.000, 0.000, 0.000), B at (0.121, 0.621, 0.000), Ru at (0.000, 0.500, 0.500) and Ru at (0.071, 0.777, 0.500).

***

No. 6
Computed, not measured: crystalline Fe2TcRu at its relaxed geometry at the PBE level of DFT.

The calculation puts the uncorrected energy at -9.03 eV per atom. The energy above the most stable polymorph in this dataset comes out at 21 meV/atom.

It has space group Pmm2 (No. 25), with a = 2.670 Å, b = 3.706 Å, c = 5.217 Å, α = 90.00°, β = 90.00° and γ = 90.00°. Symmetry generates all atoms from Fe at (0.000, 0.000, 0.000), Fe at (0.500, 0.500, 0.230), Tc at (0.500, 0.500, 0.746) and Ru at (0.000, 0.000, 0.486).

***

No. 7
Computed, not measured: crystalline BaSrTb at its relaxed geometry at the PBE level of DFT.

The calculation puts the uncorrected energy at -2.42 eV per atom.

It has space group C2/m (No. 12), with a = 15.185 Å, b = 3.773 Å, c = 10.278 Å, α = 90.00°, β = 102.21° and γ = 90.00°. Symmetry generates all atoms from Ba at (0.218, 0.000, 0.174), Sr at (0.032, 0.000, 0.806) and Tb at (0.151, 0.000, 0.509).

***

No. 8
Computed, not measured: crystalline Y12Tm5Th at its relaxed geometry at the PBE level of DFT.

The calculation puts the uncorrected energy at -5.95 eV per atom.

It has space group C2/m (No. 12), with a = 6.172 Å, b = 10.686 Å, c = 17.411 Å, α = 90.00°, β = 96.80° and γ = 90.00°. Symmetry generates all atoms from Y at (0.111, 0.000, 0.334), Y at (0.111, 0.333, 0.334), Y at (0.221, 0.166, 0.165), Y at (0.224, 0.500, 0.165), Tm at (0.000, 0.166, 0.500), Tm at (0.000, 0.333, 0.000), Tm at (0.000, 0.500, 0.500) and Th at (0.000, 0.000, 0.000).

***

No. 9
Computed, not measured: crystalline Ac2B3Pt12Rh at its relaxed geometry at the PBE level of DFT.

The calculation puts the uncorrected energy at -6.35 eV per atom.

It has space group R-3m (No. 166, hexagonal axes), with a = 8.0067 Å, b = 8.0067 Å, c = 18.1264 Å, α = 90.00°, β = 90.00° and γ = 120.00°. Symmetry generates all atoms from Ac at (0.0000, 0.0000, 0.1084), B at (0.0000, 0.5000, 0.0000), Pt at (0.0004, 0.5002, 0.1161), Pt at (0.0624, 0.5312, 0.3537) and Rh at (0.0000, 0.0000, 0.5000).

***

No. 10
Computed, not measured: crystalline Tb2Pr6Nd3Tl at its relaxed geometry at the PBE level of DFT.

The calculation puts the uncorrected energy at -4.56 eV per atom.

It has space group C2/m (No. 12), with a = 6.307 Å, b = 10.993 Å, c = 11.998 Å, α = 90.00°, β = 100.49° and γ = 90.00°. Symmetry generates all atoms from Tb at (0.000, 0.165, 0.000), Pr at (0.243, 0.337, 0.243), Pr at (0.246, 0.500, 0.754), Nd at (0.000, 0.000, 0.500), Nd at (0.000, 0.331, 0.500) and Tl at (0.000, 0.500, 0.000).

***

No. 11
Computed, not measured: crystalline Er2TaPd9 at its relaxed geometry at the PBE level of DFT.

The calculation puts the uncorrected energy at -6.44 eV per atom.

It has space group P4/mmm (No. 123), with a = 4.048 Å, b = 4.048 Å, c = 12.202 Å, α = 90.00°, β = 90.00° and γ = 90.00°. Symmetry generates all atoms from Er at (0.000, 0.000, 0.166), Ta at (0.000, 0.000, 0.500), Pd at (0.000, 0.500, 0.000), Pd at (0.000, 0.500, 0.346), Pd at (0.500, 0.500, 0.173) and Pd at (0.500, 0.500, 0.500).

***

No. 12
Computed, not measured: crystalline Sc2FePd at its relaxed geometry at the PBE level of DFT.

The calculation puts the uncorrected energy at -6.63 eV per atom.

It has space group I-42d (No. 122), with a = 6.990 Å, b = 6.990 Å, c = 5.845 Å, α = 90.00°, β = 90.00° and γ = 90.00°. Symmetry generates all atoms from Sc at (0.236, 0.250, 0.125), Fe at (0.000, 0.000, 0.000) and Pd at (0.000, 0.000, 0.500).

***

No. 13
Computed, not measured: crystalline PmZnSi2Rh at its relaxed geometry at the PBE level of DFT.

The calculation puts the uncorrected energy at -5.62 eV per atom. The uncorrected formation energy comes out at -3.863 eV per formula unit.

It has space group I-4m2 (No. 119), with a = 4.056 Å, b = 4.056 Å, c = 10.467 Å, α = 90.00°, β = 90.00° and γ = 90.00°. Symmetry generates all atoms from Pm at (0.000, 0.000, 0.000), Zn at (0.000, 0.500, 0.750), Si at (0.000, 0.000, 0.386) and Rh at (0.000, 0.500, 0.250).

***

No. 14
Computed, not measured: crystalline RbLaHgS3 at its relaxed geometry at the PBE level of DFT.

The calculation puts the uncorrected energy at -4.37 eV per atom. The uncorrected formation energy comes out at -7.643 eV per formula unit.

It has space group P2_1/m (No. 11), with a = 9.073 Å, b = 4.314 Å, c = 10.128 Å, α = 90.00°, β = 105.34° and γ = 90.00°. Symmetry generates all atoms from Rb at (0.203, 0.250, 0.229), La at (0.333, 0.750, 0.856), Hg at (0.095, 0.250, 0.614), S at (0.115, 0.250, 0.866), S at (0.211, 0.750, 0.534) and S at (0.458, 0.750, 0.144).

***

No. 15
Computed, not measured: crystalline SrLa3Ni at its relaxed geometry at the PBE level of DFT.

The calculation puts the uncorrected energy at -4.47 eV per atom.

It has space group Pm-3m (No. 221), with a = 5.708 Å, b = 5.708 Å, c = 5.708 Å, α = 90.00°, β = 90.00° and γ = 90.00°. Symmetry generates all atoms from Sr at (0.000, 0.000, 0.000), La at (0.000, 0.500, 0.500) and Ni at (0.500, 0.500, 0.500).

***

No. 16
Computed, not measured: crystalline PbAu2 at its relaxed geometry at the PBE level of DFT.

The calculation puts the uncorrected energy at -3.50 eV per atom.

It has space group Fd-3m (No. 227, origin choice 2), with a = 8.112 Å, b = 8.112 Å, c = 8.112 Å, α = 90.00°, β = 90.00° and γ = 90.00°. Symmetry generates all atoms from Pb at (0.125, 0.125, 0.125) and Au at (0.000, 0.000, 0.500).

***

No. 17
Computed, not measured: crystalline Si2GeHIr at its relaxed geometry at the PBE level of DFT.

The calculation puts the uncorrected energy at -4.77 eV per atom.

It has space group P4/mmm (No. 123), with a = 4.598 Å, b = 4.598 Å, c = 4.971 Å, α = 90.00°, β = 90.00° and γ = 90.00°. Symmetry generates all atoms from Si at (0.000, 0.500, 0.000), Ge at (0.000, 0.000, 0.500), H at (0.500, 0.500, 0.500) and Ir at (0.000, 0.000, 0.000).

***

No. 18
Computed, not measured: crystalline Eu2ThIn at its relaxed geometry at the PBE level of DFT.

The calculation puts the uncorrected energy at -7.77 eV per atom. The energy above the most stable polymorph in this dataset comes out at 0 meV/atom.

It has space group P4/mmm (No. 123), with a = 3.609 Å, b = 3.609 Å, c = 10.013 Å, α = 90.00°, β = 90.00° and γ = 90.00°. Symmetry generates all atoms from Eu at (0.000, 0.000, 0.228), Th at (0.500, 0.500, 0.500) and In at (0.500, 0.500, 0.000).

***

No. 19
Computed, not measured: crystalline MgNb2AlZn at its relaxed geometry at the PBE level of DFT.

The calculation puts the uncorrected energy at -4.49 eV per atom.

It has space group P4/mmm (No. 123), with a = 4.830 Å, b = 4.830 Å, c = 4.481 Å, α = 90.00°, β = 90.00° and γ = 90.00°. Symmetry generates all atoms from Mg at (0.000, 0.000, 0.000), Nb at (0.000, 0.500, 0.500), Al at (0.500, 0.500, 0.000) and Zn at (0.500, 0.500, 0.500).

***

No. 20
Computed, not measured: crystalline Li2CrCl at its relaxed geometry at the PBE level of DFT.

The calculation puts the uncorrected energy at -3.69 eV per atom. The uncorrected formation energy comes out at 0.523 eV per formula unit. The energy above the most stable polymorph in this dataset comes out at 471 meV/atom.

It has space group Fm-3m (No. 225), with a = 6.917 Å, b = 6.917 Å, c = 6.917 Å, α = 90.00°, β = 90.00° and γ = 90.00°. Symmetry generates all atoms from Li at (0.250, 0.250, 0.250), Cr at (0.000, 0.000, 0.000) and Cl at (0.000, 0.000, 0.500).